(1)
A plane-wave DFT calculation with PBE was carried out for crystalline NbCo at its relaxed geometry.

Its formation enthalpy at 0 K is -0.1407 eV/atom.

The space group is P6_3/mmc (No. 194) and the conventional cell measures 5.0407, 5.0407 and 7.7839 Å, with angles of 90.00, 90.00 and 120.00 degrees. The asymmetric unit holds Nb at (0.0000, 0.0000, 0.0000), Nb at (0.3333, 0.6667, 0.0655) and Co at (0.1782, 0.3565, 0.7500).

(2)
A plane-wave DFT calculation with PBE was carried out for crystalline BaH2S at its relaxed geometry.

The energy above the most stable polymorph in this dataset is 762 meV/atom.

The space group is Fm-3m (No. 225) and the conventional cell measures 6.372, 6.372 and 6.372 Å, with angles of 90.00, 90.00 and 90.00 degrees. The asymmetric unit holds Ba at (0.000, 0.000, 0.000), H at (0.250, 0.250, 0.250) and S at (0.000, 0.000, 0.500).

(3)
A plane-wave DFT calculation with PBE was carried out for crystalline ScTl3Sb3Se8 at its relaxed geometry.

Its uncorrected formation energy is -0.555 eV/atom.

The space group is R-3m (No. 166, hexagonal axes) and the conventional cell measures 8.1740, 8.1740 and 23.1481 Å, with angles of 90.00, 90.00 and 120.00 degrees. The asymmetric unit holds Sc at (0.0000, 0.0000, 0.0000), Tl at (0.0000, 0.5000, 0.5000), Sb at (0.0000, 0.5000, 0.0000), Se at (0.0000, 0.0000, 0.2614) and Se at (0.0119, 0.5059, 0.7341).

(4)
A plane-wave DFT calculation with PBE was carried out for crystalline Tb3SnPt12 at its relaxed geometry.

Its formation enthalpy at 0 K is -0.8571 eV/atom.

The space group is P4/mmm (No. 123) and the conventional cell measures 4.120, 4.120 and 16.385 Å, with angles of 90.00, 90.00 and 90.00 degrees. The asymmetric unit holds Tb at (0.000, 0.000, 0.000), Tb at (0.000, 0.000, 0.251), Sn at (0.000, 0.000, 0.500), Pt at (0.000, 0.500, 0.126), Pt at (0.000, 0.500, 0.379), Pt at (0.500, 0.500, 0.000), Pt at (0.500, 0.500, 0.254) and Pt at (0.500, 0.500, 0.500).

(5)
A plane-wave DFT calculation with PBE was carried out for crystalline As2IrAu at its relaxed geometry.

Its formation enthalpy at 0 K is -0.0518 eV/atom. The energy above the most stable polymorph in this dataset is 0 meV/atom.

The space group is C2/m (No. 12) and the conventional cell measures 6.125, 3.586 and 8.005 Å, with angles of 90.00, 104.51 and 90.00 degrees. The asymmetric unit holds As at (0.105, 0.000, 0.318), Ir at (0.000, 0.500, 0.500) and Au at (0.000, 0.000, 0.000).

(6)
A plane-wave DFT calculation with PBE was carried out for crystalline ZrCdOs at its relaxed geometry.

Its formation enthalpy at 0 K is 0.2398 eV/atom. The energy above the most stable polymorph in this dataset is 355 meV/atom.

The space group is F-43m (No. 216) and the conventional cell measures 6.422, 6.422 and 6.422 Å, with angles of 90.00, 90.00 and 90.00 degrees. The asymmetric unit holds Zr at (0.000, 0.000, 0.000), Cd at (0.000, 0.000, 0.500) and Os at (0.250, 0.250, 0.750).

(7)
A plane-wave DFT calculation with PBE was carried out for crystalline Te2SeCl at its relaxed geometry.

Its uncorrected formation energy is 0.197 eV/atom. The energy above the most stable polymorph in this dataset is 345 meV/atom.

The space group is Pmmm (No. 47) and the conventional cell measures 3.669, 4.377 and 7.025 Å, with angles of 90.00, 90.00 and 90.00 degrees. The asymmetric unit holds Te at (0.000, 0.000, 0.000), Te at (0.500, 0.000, 0.500), Se at (0.000, 0.500, 0.500) and Cl at (0.500, 0.500, 0.000).

(8)
A plane-wave DFT calculation with PBE was carried out for crystalline NdYZn4 at its relaxed geometry.

Its formation enthalpy at 0 K is -0.3316 eV/atom. The energy above the most stable polymorph in this dataset is 34 meV/atom.

The space group is F-43m (No. 216) and the conventional cell measures 7.817, 7.817 and 7.817 Å, with angles of 90.00, 90.00 and 90.00 degrees. The asymmetric unit holds Nd at (0.000, 0.000, 0.000), Y at (0.250, 0.250, 0.250) and Zn at (0.125, 0.125, 0.625).

Values of V, in order: 171, 259, 1339, 278, 170, 265, 113, 478, all in Å³/cell.
Values of magnetization, in order: 0.00, 0.00, 0.00, 0.00, 0.00, 0.00, 0.00, 0.00, all in μB/cell.
Values of final energy, in order: -104.74, -54.74, -186.00, -104.10, -43.29, -79.89, -10.83, -73.27, all in eV/cell.